[1]
An optimized crystal structure of Sc2TaBe, computed with PBE-GGA.

abc: 4.453 3.117 5.715
angles: 74.15 90.00 90.00
Positions (direct):
Be1 0.500 0.564 0.746
Ta1 0.000 0.686 0.504
Sc1 0.000 0.963 0.948
Sc2 0.500 0.287 0.302

## Properties
SG = Amm2 (38)
Energy relative to the elements = 0.221 eV/atom



[2]
An optimized crystal structure of Sc2TaBe, computed with PBE-GGA.

abc: 9.280 9.280 9.280
angles: 19.33 19.33 19.33
Positions (direct):
Be1 0.754 0.754 0.754
Ta1 0.487 0.487 0.487
Sc1 0.017 0.017 0.017
Sc2 0.242 0.242 0.242

## Properties
SG = R3m (160)
Energy relative to the elements = 0.259 eV/atom



[3]
An optimized crystal structure of Sc2TaBe, computed with PBE-GGA.

abc: 4.661 4.661 4.661
angles: 60.00 60.00 60.00
Positions (direct):
Sc1 0.000 0.000 0.000
Be1 0.500 0.500 0.500
Ta1 0.750 0.750 0.750
Sc2 0.250 0.250 0.250

## Properties
SG = F-43m (216)
Energy relative to the elements = 0.394 eV/atom



[4]
An optimized crystal structure of Sc2TaBe, computed with PBE-GGA.

abc: 5.695 5.695 5.695
angles: 148.12 130.67 59.94
Positions (direct):
Sc1 0.744 0.244 0.500
Be1 0.258 0.758 0.500
Sc2 0.039 0.039 0.000
Ta1 0.458 0.458 0.000

## Properties
SG = Imm2 (44)
Energy relative to the elements = 0.099 eV/atom



no.,M_tot (Bohr magnetons per cell)
1,0.0
2,0.0
3,0.0
4,0.0